Computed, not measured: crystalline SiRh2Br at its relaxed geometry at the PBE-GGA level of DFT.

Calculated values
- Magnetization: 0.0 μB per cell
- Volume: 67 Å³/f.u.
- Final energy: -5.326 eV per atom
- Formation energy without anion corrections: 123 meV/atom

Cell lengths 2.942, 5.490, 8.316 Å; angles 90.00, 90.00, 90.00 degrees
Space group Immm (No. 71)
Unique sites:
Si (0.000, 0.000, 0.000) (multiplicity 2)
Rh (0.000, 0.500, 0.278) (multiplicity 4)
Br (0.000, 0.000, 0.500) (multiplicity 2)